# Nd2AgPb3Se6 | Alexandria | GGA-PBE | relaxed
data_Nd2AgPb3Se6
_cell_length_a 19.007
_cell_length_b 4.322
_cell_length_c 8.564
_cell_angle_alpha 90.00
_cell_angle_beta 103.29
_cell_angle_gamma 90.00
_space_group_name_H-M_alt 'C 1 2/m 1'
_space_group_IT_number 12
_space_group_name_Hall '-C 2y'
loop_
_atom_site_label
_atom_site_type_symbol
_atom_site_fract_x
_atom_site_fract_y
_atom_site_fract_z
Nd1 Nd 0.164 0.000 0.328
Ag1 Ag 0.000 0.500 0.000
Pb1 Pb 0.000 0.500 0.500
Pb2 Pb 0.159 0.000 0.843
Se1 Se 0.007 0.000 0.235
Se2 Se 0.170 0.500 0.575
Se3 Se 0.174 0.500 0.094
# Total magnetic moment in μB per formula unit: 0.0
# Calculated volume in Å³/atom: 28.5
# Calculated total energy in eV per atom: -4.6296

# Nd10Er4Th | Alexandria | GGA-PBE | relaxed
data_Nd10Er4Th
_cell_length_a 10.041
_cell_length_b 10.041
_cell_length_c 10.901
_cell_angle_alpha 90.00
_cell_angle_beta 90.00
_cell_angle_gamma 90.00
_space_group_name_H-M_alt 'I 4/m'
_space_group_IT_number 87
_space_group_name_Hall '-I 4'
loop_
_atom_site_label
_atom_site_type_symbol
_atom_site_fract_x
_atom_site_fract_y
_atom_site_fract_z
Nd1 Nd 0.000 0.500 0.250
Nd2 Nd 0.119 0.225 0.172
Er1 Er 0.058 0.277 0.500
Th1 Th 0.000 0.000 0.000
# Formation energy from the elements in meV per atom: 466
# Total magnetic moment in μB per formula unit: 0.0
# Calculated volume in Å³/atom: 36.6

# Zr2SiPd2 | Alexandria | GGA-PBE | relaxed
data_Zr2SiPd2
_cell_length_a 7.128
_cell_length_b 7.128
_cell_length_c 3.624
_cell_angle_alpha 90.00
_cell_angle_beta 90.00
_cell_angle_gamma 90.00
_space_group_name_H-M_alt 'P 4/m b m'
_space_group_IT_number 127
_space_group_name_Hall '-P 4 2ab'
loop_
_atom_site_label
_atom_site_type_symbol
_atom_site_fract_x
_atom_site_fract_y
_atom_site_fract_z
Zr1 Zr 0.174 0.326 0.000
Si1 Si 0.000 0.000 0.500
Pd1 Pd 0.133 0.633 0.500
# Total magnetic moment in μB per formula unit: 0.0
# Calculated volume in Å³/atom: 18.4
# Calculated total energy in eV per atom: -7.1380

# Mn2AlC | Alexandria | GGA-PBE | relaxed
data_Mn2AlC
_cell_length_a 6.317
_cell_length_b 6.317
_cell_length_c 4.331
_cell_angle_alpha 90.00
_cell_angle_beta 90.00
_cell_angle_gamma 90.00
_space_group_name_H-M_alt 'I -4 2 d'
_space_group_IT_number 122
_space_group_name_Hall 'I -4 2bw'
loop_
_atom_site_label
_atom_site_type_symbol
_atom_site_fract_x
_atom_site_fract_y
_atom_site_fract_z
Mn1 Mn 0.151 0.250 0.125
Al1 Al 0.000 0.000 0.500
C1 C 0.000 0.000 0.000
# Formation energy from the elements in meV per atom: 166
# Total magnetic moment in μB per formula unit: 1.0
# Calculated volume in Å³/atom: 10.8

# Hg2BiSe | Alexandria | GGA-PBE | relaxed
data_Hg2BiSe
_cell_length_a 6.653
_cell_length_b 6.653
_cell_length_c 12.553
_cell_angle_alpha 90.00
_cell_angle_beta 90.00
_cell_angle_gamma 90.00
_space_group_name_H-M_alt 'I -4 2 d'
_space_group_IT_number 122
_space_group_name_Hall 'I -4 2bw'
loop_
_atom_site_label
_atom_site_type_symbol
_atom_site_fract_x
_atom_site_fract_y
_atom_site_fract_z
Hg1 Hg 0.228 0.250 0.125
Bi1 Bi 0.000 0.000 0.500
Se1 Se 0.000 0.000 0.000
# Total magnetic moment in μB per formula unit: 0.0
# Calculated volume in Å³/atom: 34.7
# Calculated total energy in eV per atom: -1.9360

# Mn2Ni6Sb | Alexandria | GGA-PBE | relaxed
data_Mn2Ni6Sb
_cell_length_a 8.683
_cell_length_b 4.999
_cell_length_c 5.864
_cell_angle_alpha 90.00
_cell_angle_beta 90.80
_cell_angle_gamma 90.00
_space_group_name_H-M_alt 'C 1 2/m 1'
_space_group_IT_number 12
_space_group_name_Hall '-C 2y'
loop_
_atom_site_label
_atom_site_type_symbol
_atom_site_fract_x
_atom_site_fract_y
_atom_site_fract_z
Mn1 Mn 0.166 0.000 0.260
Ni1 Ni 0.087 0.239 0.664
Ni2 Ni 0.174 0.500 0.341
Sb1 Sb 0.000 0.500 0.000
# Total magnetic moment in μB per formula unit: 9.5
# Calculated volume in Å³/atom: 14.1
# Calculated total energy in eV per atom: -6.2526

# LiPd4Au5 | Alexandria | GGA-PBE | relaxed
data_LiPd4Au5
_cell_length_a 4.900
_cell_length_b 5.700
_cell_length_c 6.442
_cell_angle_alpha 77.02
_cell_angle_beta 74.85
_cell_angle_gamma 74.57
_space_group_name_H-M_alt 'P -1'
_space_group_IT_number 2
_space_group_name_Hall '-P 1'
loop_
_atom_site_label
_atom_site_type_symbol
_atom_site_fract_x
_atom_site_fract_y
_atom_site_fract_z
Li1 Li 0.000 0.000 0.000
Pd1 Pd 0.200 0.298 0.602
Pd2 Pd 0.401 0.100 0.198
Au1 Au 0.000 0.500 0.000
Au2 Au 0.200 0.805 0.600
Au3 Au 0.396 0.607 0.199
# Formation energy from the elements in meV per atom: -181
# Total magnetic moment in μB per formula unit: 0.0
# Calculated volume in Å³/atom: 16.5
# Energy above the lowest structure with this stoichiometry in kJ/mol of atoms: 0.0

# Rb3Tb2SnS6 | Alexandria | GGA-PBE | relaxed
data_Rb3Tb2SnS6
_cell_length_a 7.106
_cell_length_b 12.310
_cell_length_c 8.022
_cell_angle_alpha 90.00
_cell_angle_beta 107.16
_cell_angle_gamma 90.00
_space_group_name_H-M_alt 'C 1 2/m 1'
_space_group_IT_number 12
_space_group_name_Hall '-C 2y'
loop_
_atom_site_label
_atom_site_type_symbol
_atom_site_fract_x
_atom_site_fract_y
_atom_site_fract_z
Rb1 Rb 0.000 0.000 0.000
Rb2 Rb 0.000 0.334 0.000
Tb1 Tb 0.000 0.167 0.500
Sn1 Sn 0.000 0.500 0.500
S1 S 0.231 0.000 0.692
S2 S 0.231 0.333 0.692
# Total magnetic moment in μB per formula unit: 0.0
# Calculated volume in Å³/atom: 27.9
# Calculated total energy in eV per atom: -4.8661

# MgSb2Rh | Alexandria | GGA-PBE | relaxed
data_MgSb2Rh
_cell_length_a 6.971
_cell_length_b 6.971
_cell_length_c 6.971
_cell_angle_alpha 90.00
_cell_angle_beta 90.00
_cell_angle_gamma 90.00
_space_group_name_H-M_alt 'F -4 3 m'
_space_group_IT_number 216
_space_group_name_Hall 'F -4 2 3'
loop_
_atom_site_label
_atom_site_type_symbol
_atom_site_fract_x
_atom_site_fract_y
_atom_site_fract_z
Mg1 Mg 0.000 0.000 0.000
Sb1 Sb 0.000 0.000 0.500
Sb2 Sb 0.250 0.250 0.750
Rh1 Rh 0.250 0.250 0.250
# Total magnetic moment in μB per formula unit: 0.0
# Calculated volume in Å³/atom: 21.2
# Calculated total energy in eV per atom: -4.2188

# InSn2RhBr | Alexandria | GGA-PBE | relaxed
data_InSn2RhBr
_cell_length_a 5.144
_cell_length_b 5.144
_cell_length_c 5.264
_cell_angle_alpha 90.00
_cell_angle_beta 90.00
_cell_angle_gamma 90.00
_space_group_name_H-M_alt 'P 4/m m m'
_space_group_IT_number 123
_space_group_name_Hall '-P 4 2'
loop_
_atom_site_label
_atom_site_type_symbol
_atom_site_fract_x
_atom_site_fract_y
_atom_site_fract_z
In1 In 0.000 0.000 0.000
Sn1 Sn 0.000 0.500 0.500
Rh1 Rh 0.000 0.000 0.500
Br1 Br 0.500 0.500 0.000
# Total magnetic moment in μB per formula unit: 0.0
# Calculated volume in Å³/atom: 27.9
# Calculated total energy in eV per atom: -4.2791

# Si23Br3 | Alexandria | GGA-PBE | relaxed
data_Si23Br3
_cell_length_a 10.217
_cell_length_b 10.217
_cell_length_c 10.217
_cell_angle_alpha 90.00
_cell_angle_beta 90.00
_cell_angle_gamma 90.00
_space_group_name_H-M_alt 'P m -3 n'
_space_group_IT_number 223
_space_group_name_Hall '-P 4n 2 3'
loop_
_atom_site_label
_atom_site_type_symbol
_atom_site_fract_x
_atom_site_fract_y
_atom_site_fract_z
Si1 Si 0.000 0.116 0.310
Si2 Si 0.000 0.250 0.500
Si3 Si 0.183 0.183 0.183
Br1 Br 0.000 0.500 0.250
# Total magnetic moment in μB per formula unit: 0.0
# Calculated volume in Å³/atom: 20.5
# Calculated total energy in eV per atom: -4.9539

# PmCd4Bi | Alexandria | GGA-PBE | relaxed
data_PmCd4Bi
_cell_length_a 8.515
_cell_length_b 8.515
_cell_length_c 8.515
_cell_angle_alpha 90.00
_cell_angle_beta 90.00
_cell_angle_gamma 90.00
_space_group_name_H-M_alt 'F -4 3 m'
_space_group_IT_number 216
_space_group_name_Hall 'F -4 2 3'
loop_
_atom_site_label
_atom_site_type_symbol
_atom_site_fract_x
_atom_site_fract_y
_atom_site_fract_z
Pm1 Pm 0.000 0.000 0.000
Cd1 Cd 0.125 0.125 0.625
Bi1 Bi 0.250 0.250 0.250
# Formation energy from the elements in meV per atom: -135
# Total magnetic moment in μB per formula unit: 0.0
# Calculated volume in Å³/atom: 25.7

Question: Which value of total magnetic moment does entry 1 give?
Answer: 0.0 μB per formula unit

Repeat the sixth record exactly.
# Mn2Ni6Sb | Alexandria | GGA-PBE | relaxed
data_Mn2Ni6Sb
_cell_length_a 8.683
_cell_length_b 4.999
_cell_length_c 5.864
_cell_angle_alpha 90.00
_cell_angle_beta 90.80
_cell_angle_gamma 90.00
_space_group_name_H-M_alt 'C 1 2/m 1'
_space_group_IT_number 12
_space_group_name_Hall '-C 2y'
loop_
_atom_site_label
_atom_site_type_symbol
_atom_site_fract_x
_atom_site_fract_y
_atom_site_fract_z
Mn1 Mn 0.166 0.000 0.260
Ni1 Ni 0.087 0.239 0.664
Ni2 Ni 0.174 0.500 0.341
Sb1 Sb 0.000 0.500 0.000
# Total magnetic moment in μB per formula unit: 9.5
# Calculated volume in Å³/atom: 14.1
# Calculated total energy in eV per atom: -6.2526

Question: The lowest calculated volume belongs to which entry?
Answer: Mn2AlC